The following is a DFT calculation (PBE) of crystalline MgCd2Hg at its relaxed geometry.

It has space group P2_1/m (No. 11), with a = 5.984 Å, b = 4.657 Å, c = 6.544 Å, α = 90.00°, β = 101.01° and γ = 90.00°. The distinct sites, in fractional coordinates, are Mg at (0.171, 0.250, 0.406), Cd at (0.131, 0.250, 0.907), Cd at (0.377, 0.750, 0.178) and Hg at (0.325, 0.750, 0.663).

As for the energy relative to the elements: -1.83 kcal/mol of atoms. The total energy comes out at -0.037 hartree per atom. For the distance to the lowest polymorph of the same formula, the calculation gives 0 meV/atom.